No. 1
Below is BaBeP2Pt after structural relaxation, with properties calculated at the PBE-GGA level.

## Properties
energy: -3.9720 eV per atom
ΔH_f (0 K): 0.53 eV per atom
Fermi-level density of states: 1.13 states/eV/atom
symmetry: No. 123

abc: 4.699 4.699 6.050
angles: 90.00 90.00 90.00
Sites, in units of the cell vectors:
Ba  0.000  0.000  0.000
Be  0.500  0.500  0.000
P  0.000  0.500  0.500
P  0.500  0.000  0.500
Pt  0.000  0.000  0.500


No. 2
Below is BaPuBeP2 after structural relaxation, with properties calculated at the PBE-GGA level.

## Properties
energy: -6.7188 eV per atom
ΔH_f (0 K): -0.56 eV per atom
Fermi-level density of states: 1.61 states/eV/atom
symmetry: No. 119

abc: 7.388 7.388 7.388
angles: 146.52 146.52 48.07
Sites, in units of the cell vectors:
Ba  0.000  0.000  0.000
Pu  0.750  0.250  0.500
Be  0.250  0.750  0.500
P  0.364  0.364  0.000
P  0.636  0.636  0.000


No. 3
Below is Rb2BaBeP2 after structural relaxation, with properties calculated at the PBE-GGA level.

## Properties
energy: -3.3983 eV per atom
ΔH_f (0 K): -0.33 eV per atom
Fermi-level density of states: 0.00 states/eV/atom
symmetry: No. 72

abc: 8.962 8.962 8.962
angles: 131.66 68.26 134.89
Sites, in units of the cell vectors:
Rb  0.182  0.195  0.377
Rb  0.318  0.695  0.013
Rb  0.682  0.305  0.987
Rb  0.818  0.805  0.623
Ba  0.250  0.750  0.500
Ba  0.750  0.250  0.500
Be  0.250  0.250  0.000
Be  0.750  0.750  0.000
P  0.072  0.827  0.898
P  0.428  0.327  0.755
P  0.572  0.673  0.245
P  0.928  0.173  0.102


No. 4
Below is RbBaBe2P after structural relaxation, with properties calculated at the PBE-GGA level.

## Properties
energy: -2.4512 eV per atom
ΔH_f (0 K): 0.70 eV per atom
Fermi-level density of states: 0.48 states/eV/atom
symmetry: No. 123

abc: 4.601 4.601 5.942
angles: 90.00 90.00 90.00
Sites, in units of the cell vectors:
Rb  0.000  0.000  0.000
Ba  0.500  0.500  0.000
Be  0.000  0.500  0.500
Be  0.500  0.000  0.500
P  0.000  0.000  0.500


No. 5
Below is Ba2SmBe2P4 after structural relaxation, with properties calculated at the PBE-GGA level.

## Properties
energy: -5.0345 eV per atom
ΔH_f (0 K): -0.85 eV per atom
Fermi-level density of states: 0.44 states/eV/atom
symmetry: No. 12

abc: 7.829 7.829 7.377
angles: 110.11 110.11 29.65
Sites, in units of the cell vectors:
Ba  0.139  0.139  0.076
Ba  0.861  0.861  0.924
Sm  0.000  0.000  0.500
Be  0.326  0.326  0.525
Be  0.674  0.674  0.475
P  0.205  0.205  0.648
P  0.474  0.474  0.747
P  0.526  0.526  0.253
P  0.795  0.795  0.352


No. 6
Below is BaSrBeP2 after structural relaxation, with properties calculated at the PBE-GGA level.

## Properties
energy: -4.4287 eV per atom
ΔH_f (0 K): -0.80 eV per atom
symmetry: No. 13

abc: 7.463 4.831 8.506
angles: 90.00 106.54 90.00
Sites, in units of the cell vectors:
Ba  0.000  0.244  0.250
Ba  0.000  0.756  0.750
Sr  0.500  0.422  0.750
Sr  0.500  0.578  0.250
Be  0.500  0.000  0.000
Be  0.500  0.000  0.500
P  0.265  0.206  0.984
P  0.265  0.794  0.484
P  0.735  0.206  0.516
P  0.735  0.794  0.016


Which of these has the lowest ΔH_f (0 K)?
Ba2SmBe2P4


Which formula does entry 1 have?
BaBeP2Pt


What is the formula in the first record?
BaBeP2Pt